LaGdGa2Pd4 | PBE | optimized geometry

mass density = 8.9 Mg/m³
DFT total energy = -5.4094 eV/atom

a b c (Å): 4.4541 4.4541 9.3167
angles (deg): 90.00 90.00 120.00
Space group P-6m2 (No. 187)
Inequivalent atoms, fractional coordinates:
La1 0.0000 0.0000 0.0000 [1 per cell]
Gd1 0.3333 0.6667 0.5000 [1 per cell]
Ga1 0.6667 0.3333 0.2600 [2 per cell]
Pd1 0.0000 0.0000 0.3333 [2 per cell]
Pd2 0.3333 0.6667 0.1811 [2 per cell]

---

LaGdGa2Pt4 | PBE | optimized geometry

mass density = 12.6 Mg/m³
DFT total energy = -6.0038 eV/atom

a b c (Å): 4.4255 4.4255 9.4398
angles (deg): 90.00 90.00 120.00
Space group P-6m2 (No. 187)
Inequivalent atoms, fractional coordinates:
La1 0.0000 0.0000 0.0000 [1 per cell]
Gd1 0.6667 0.3333 0.5000 [1 per cell]
Ga1 0.3333 0.6667 0.2569 [2 per cell]
Pt1 0.0000 0.0000 0.3367 [2 per cell]
Pt2 0.6667 0.3333 0.1814 [2 per cell]

---

LaGdZn2Ga2 | PBE | optimized geometry

mass density = 7.1 Mg/m³
DFT total energy = -3.6048 eV/atom

a b c (Å): 4.4984 4.4984 7.5433
angles (deg): 90.00 90.00 120.00
Space group P3m1 (No. 156)
Inequivalent atoms, fractional coordinates:
La1 0.0000 0.0000 0.0000 [1 per cell]
Gd1 0.0000 0.0000 0.4989 [1 per cell]
Zn1 0.3333 0.6667 0.7615 [1 per cell]
Zn2 0.6667 0.3333 0.2992 [1 per cell]
Ga1 0.3333 0.6667 0.2344 [1 per cell]
Ga2 0.6667 0.3333 0.7036 [1 per cell]

---

GdLu2Ga | PBE | optimized geometry

energy above the most stable polymorph in this dataset = 0.000 eV per atom
mass density = 9.1 Mg/m³

a b c (Å): 4.833 10.451 8.346
angles (deg): 90.00 90.00 90.00
Space group Ama2 (No. 40)
Inequivalent atoms, fractional coordinates:
Gd1 0.250 0.114 0.000 [4 per cell]
Lu1 0.250 0.111 0.587 [4 per cell]
Lu2 0.250 0.381 0.796 [4 per cell]
Ga1 0.250 0.324 0.290 [4 per cell]

---

GdLuGa | PBE | optimized geometry

energy above the most stable polymorph in this dataset = 0.000 eV per atom
mass density = 7.9 Mg/m³

a b c (Å): 6.970 6.970 6.970
angles (deg): 90.00 90.00 90.00
Space group F-43m (No. 216)
Inequivalent atoms, fractional coordinates:
Gd1 0.000 0.000 0.000 [4 per cell]
Lu1 0.000 0.000 0.500 [4 per cell]
Ga1 0.250 0.250 0.250 [4 per cell]

---

GdLu2Ga | PBE | optimized geometry

energy above the most stable polymorph in this dataset = 0.017 eV per atom
mass density = 9.5 Mg/m³

a b c (Å): 6.669 11.656 5.212
angles (deg): 90.00 90.00 90.00
Space group Cmcm (No. 63)
Inequivalent atoms, fractional coordinates:
Gd1 0.000 0.176 0.250 [4 per cell]
Lu1 0.239 0.414 0.250 [8 per cell]
Ga1 0.000 0.338 0.750 [4 per cell]

---

GdLuGa2 | PBE | optimized geometry

energy above the most stable polymorph in this dataset = 0.000 eV per atom
mass density = 8.7 Mg/m³

a b c (Å): 7.124 10.048 5.009
angles (deg): 90.00 90.00 90.00
Space group Cmcm (No. 63)
Inequivalent atoms, fractional coordinates:
Gd1 0.000 0.129 0.250 [4 per cell]
Lu1 0.000 0.375 0.750 [4 per cell]
Ga1 0.246 0.378 0.250 [8 per cell]

---

GdLu2Ga | PBE | optimized geometry

energy above the most stable polymorph in this dataset = 0.100 eV per atom
mass density = 9.1 Mg/m³

a b c (Å): 5.171 6.921 11.748
angles (deg): 90.00 90.00 90.00
Space group Amm2 (No. 38)
Inequivalent atoms, fractional coordinates:
Gd1 0.000 0.000 0.000 [2 per cell]
Gd2 0.500 0.000 0.316 [2 per cell]
Lu1 0.000 0.000 0.501 [2 per cell]
Lu2 0.500 0.000 0.821 [2 per cell]
Lu3 0.500 0.248 0.583 [4 per cell]
Ga1 0.000 0.237 0.733 [4 per cell]

---

GdLuGa2 | PBE | optimized geometry

energy above the most stable polymorph in this dataset = 0.199 eV per atom
mass density = 8.5 Mg/m³

a b c (Å): 4.926 6.473 11.568
angles (deg): 90.00 90.00 90.00
Space group Amm2 (No. 38)
Inequivalent atoms, fractional coordinates:
Gd1 0.000 0.000 0.000 [2 per cell]
Gd2 0.500 0.000 0.357 [2 per cell]
Lu1 0.000 0.233 0.743 [4 per cell]
Ga1 0.000 0.000 0.510 [2 per cell]
Ga2 0.500 0.000 0.829 [2 per cell]
Ga3 0.500 0.242 0.603 [4 per cell]

---

Gd2LuGa5 | PBE | optimized geometry

mass density = 8.1 Mg/m³
DFT total energy = -4.1091 eV/atom

a b c (Å): 4.809 7.043 10.132
angles (deg): 90.00 90.00 90.00
Space group Amm2 (No. 38)
Inequivalent atoms, fractional coordinates:
Gd1 0.000 0.000 0.000 [2 per cell]
Gd2 0.500 0.000 0.327 [2 per cell]
Lu1 0.500 0.000 0.757 [2 per cell]
Ga1 0.000 0.000 0.519 [2 per cell]
Ga2 0.000 0.248 0.252 [4 per cell]
Ga3 0.500 0.223 0.054 [4 per cell]

---

GdLuGa2 | PBE | optimized geometry

energy above the most stable polymorph in this dataset = 0.230 eV per atom
mass density = 8.4 Mg/m³

a b c (Å): 5.220 11.703 6.088
angles (deg): 90.00 90.00 90.00
Space group Ama2 (No. 40)
Inequivalent atoms, fractional coordinates:
Gd1 0.250 0.182 0.000 [4 per cell]
Lu1 0.250 0.427 0.206 [4 per cell]
Ga1 0.250 0.169 0.503 [4 per cell]
Ga2 0.250 0.433 0.723 [4 per cell]

---

GdMgGa | PBE | optimized geometry

energy above the most stable polymorph in this dataset = 0.072 eV per atom
mass density = 6.0 Mg/m³

a b c (Å): 4.6923 4.6923 7.2617
angles (deg): 90.00 90.00 120.00
Space group P6_3/mmc (No. 194)
Inequivalent atoms, fractional coordinates:
Gd1 0.0000 0.0000 0.0000 [2 per cell]
Mg1 0.3333 0.6667 0.2500 [2 per cell]
Ga1 0.3333 0.6667 0.7500 [2 per cell]

---

GdMgGa | PBE | optimized geometry

energy above the most stable polymorph in this dataset = 0.000 eV per atom
mass density = 6.0 Mg/m³

a b c (Å): 7.3178 7.3178 4.4646
angles (deg): 90.00 90.00 120.00
Space group P-62m (No. 189)
Inequivalent atoms, fractional coordinates:
Gd1 0.0000 0.5733 0.0000 [3 per cell]
Mg1 0.0000 0.2430 0.5000 [3 per cell]
Ga1 0.0000 0.0000 0.0000 [1 per cell]
Ga2 0.3333 0.6667 0.5000 [2 per cell]

---

GdMgGa | PBE | optimized geometry

energy above the most stable polymorph in this dataset = 0.068 eV per atom
mass density = 6.0 Mg/m³

a b c (Å): 4.6802 4.6802 7.2943
angles (deg): 90.00 90.00 120.00
Space group P6_3mc (No. 186)
Inequivalent atoms, fractional coordinates:
Gd1 0.0000 0.0000 0.0000 [2 per cell]
Mg1 0.3333 0.6667 0.2703 [2 per cell]
Ga1 0.3333 0.6667 0.7171 [2 per cell]

---

GdMgGa | PBE | optimized geometry

energy above the most stable polymorph in this dataset = 0.232 eV per atom
mass density = 5.9 Mg/m³

a b c (Å): 7.793 3.377 10.733
angles (deg): 90.00 90.00 90.00
Space group Pnma (No. 62)
Inequivalent atoms, fractional coordinates:
Gd1 0.156 0.250 0.092 [4 per cell]
Mg1 0.078 0.250 0.388 [4 per cell]
Ga1 0.134 0.250 0.791 [4 per cell]

---

GdMgGa | PBE | optimized geometry

energy above the most stable polymorph in this dataset = 0.037 eV per atom
mass density = 6.2 Mg/m³

a b c (Å): 5.0228 5.0228 6.2094
angles (deg): 90.00 90.00 120.00
Space group P6_3/mmc (No. 194)
Inequivalent atoms, fractional coordinates:
Gd1 0.3333 0.6667 0.2500 [2 per cell]
Mg1 0.0000 0.0000 0.0000 [2 per cell]
Ga1 0.3333 0.6667 0.7500 [2 per cell]

---

GdMgGa | PBE | optimized geometry

energy above the most stable polymorph in this dataset = 0.250 eV per atom
mass density = 6.0 Mg/m³

a b c (Å): 7.2530 7.2530 4.5587
angles (deg): 90.00 90.00 120.00
Space group P-62m (No. 189)
Inequivalent atoms, fractional coordinates:
Gd1 0.0000 0.5693 0.0000 [3 per cell]
Mg1 0.0000 0.0000 0.0000 [1 per cell]
Mg2 0.3333 0.6667 0.5000 [2 per cell]
Ga1 0.0000 0.2434 0.5000 [3 per cell]

---

GdMgGa | PBE | optimized geometry

energy above the most stable polymorph in this dataset = 0.042 eV per atom
mass density = 6.0 Mg/m³

a b c (Å): 7.387 4.415 8.554
angles (deg): 90.00 90.00 90.00
Space group Pnma (No. 62)
Inequivalent atoms, fractional coordinates:
Gd1 0.023 0.250 0.183 [4 per cell]
Mg1 0.149 0.250 0.559 [4 per cell]
Ga1 0.242 0.750 0.380 [4 per cell]

---

GdMgGa | PBE | optimized geometry

energy above the most stable polymorph in this dataset = 0.244 eV per atom
mass density = 5.6 Mg/m³

a b c (Å): 7.9430 7.9430 4.0927
angles (deg): 90.00 90.00 120.00
Space group P-62m (No. 189)
Inequivalent atoms, fractional coordinates:
Gd1 0.0000 0.2629 0.0000 [3 per cell]
Mg1 0.0000 0.5978 0.5000 [3 per cell]
Ga1 0.0000 0.0000 0.5000 [1 per cell]
Ga2 0.3333 0.6667 0.0000 [2 per cell]

---

Pr2GdMg3TlGa2 | PBE | optimized geometry

mass density = 6.3 Mg/m³
DFT total energy = -3.4757 eV/atom

a b c (Å): 4.644 12.956 7.546
angles (deg): 90.00 90.00 90.00
Space group Amm2 (No. 38)
Inequivalent atoms, fractional coordinates:
Pr1 0.000 0.218 0.000 [4 per cell]
Gd1 0.000 0.000 0.347 [2 per cell]
Mg1 0.500 0.000 0.031 [2 per cell]
Mg2 0.500 0.124 0.656 [4 per cell]
Tl1 0.000 0.000 0.776 [2 per cell]
Ga1 0.500 0.164 0.282 [4 per cell]

---

Gd3Mg3GaPt2 | PBE | optimized geometry

mass density = 8.4 Mg/m³
DFT total energy = -4.5086 eV/atom

a b c (Å): 7.4379 7.4379 4.1553
angles (deg): 90.00 90.00 120.00
Space group P-62m (No. 189)
Inequivalent atoms, fractional coordinates:
Gd1 0.0000 0.4176 0.0000 [3 per cell]
Mg1 0.0000 0.7513 0.5000 [3 per cell]
Ga1 0.0000 0.0000 0.0000 [1 per cell]
Pt1 0.3333 0.6667 0.5000 [2 per cell]

---

GdMgGa4Pt2 | PBE | optimized geometry

mass density = 9.7 Mg/m³
DFT total energy = -4.5529 eV/atom

a b c (Å): 6.883 4.275 9.920
angles (deg): 90.00 90.00 90.00
Space group Amm2 (No. 38)
Inequivalent atoms, fractional coordinates:
Gd1 0.000 0.000 0.000 [2 per cell]
Mg1 0.500 0.000 0.844 [2 per cell]
Ga1 0.206 0.000 0.291 [4 per cell]
Ga2 0.306 0.000 0.558 [4 per cell]
Pt1 0.000 0.000 0.713 [2 per cell]
Pt2 0.500 0.000 0.126 [2 per cell]

---

Tb2GdMg3Ga3 | PBE | optimized geometry

mass density = 6.1 Mg/m³
DFT total energy = -3.5726 eV/atom

a b c (Å): 4.450 12.668 7.300
angles (deg): 90.00 90.00 90.00
Space group Amm2 (No. 38)
Inequivalent atoms, fractional coordinates:
Tb1 0.000 0.213 0.000 [4 per cell]
Gd1 0.000 0.000 0.639 [2 per cell]
Mg1 0.500 0.000 0.970 [2 per cell]
Mg2 0.500 0.122 0.334 [4 per cell]
Ga1 0.000 0.000 0.212 [2 per cell]
Ga2 0.500 0.167 0.713 [4 per cell]

---

TbGd2Mg3TlGa2 | PBE | optimized geometry

mass density = 6.9 Mg/m³
DFT total energy = -3.4483 eV/atom

a b c (Å): 4.574 12.760 7.379
angles (deg): 90.00 90.00 90.00
Space group Amm2 (No. 38)
Inequivalent atoms, fractional coordinates:
Tb1 0.000 0.000 0.000 [2 per cell]
Gd1 0.000 0.218 0.655 [4 per cell]
Mg1 0.500 0.000 0.686 [2 per cell]
Mg2 0.500 0.125 0.312 [4 per cell]
Tl1 0.000 0.000 0.436 [2 per cell]
Ga1 0.500 0.166 0.937 [4 per cell]